Record 1
Below is a geometry-optimized VCrMo2 structure, with properties calculated at the PBE level.

abc: 4.307 4.307 4.307
angles: 60.00 60.00 60.00
Atoms (fractional coordinates):
Mo 0.250 0.250 0.250
V 0.000 0.000 0.000
Mo 0.750 0.750 0.750
Cr 0.500 0.500 0.500

Values from the calculation:
The formation energy is -59 meV per atom. Its calculated volume is 14.1 Å³/atom. The total magnetization is 0.000 μB per cell. For the energy relative to the lowest polymorph listed for this composition, the calculation gives 4.2 meV/atom. The calculation puts the density at 8.7 g/cm³. Its density of states at the Fermi level is 0.927 states/eV/atom.


Record 2
Below is a geometry-optimized V2CrMo4 structure, with properties calculated at the PBE level.

abc: 2.631 7.587 7.002
angles: 56.76 75.72 62.60
Atoms (fractional coordinates):
Mo 0.111 0.276 0.573
V 0.198 0.858 0.712
Mo 0.336 0.425 0.861
Cr 0.000 0.000 0.000
Mo 0.664 0.575 0.139
V 0.802 0.142 0.288
Mo 0.889 0.724 0.427

Values from the calculation:
The formation energy is 114 meV per atom. Its calculated volume is 14.8 Å³/atom. The total magnetization is 0.000 μB per cell. For the energy relative to the lowest polymorph listed for this composition, the calculation gives 0.0 meV/atom. The calculation puts the density at 8.6 g/cm³. Its density of states at the Fermi level is 0.807 states/eV/atom.


Record 3
Below is a geometry-optimized V4Cr3Mo structure, with properties calculated at the PBE level.

abc: 2.963 4.211 8.304
angles: 90.00 90.00 90.00
Atoms (fractional coordinates):
V 0.000 0.000 0.500
Cr 0.500 0.000 0.257
Cr 0.500 0.500 0.500
Mo 0.500 0.500 0.000
Cr 0.500 0.000 0.743
V 0.000 0.500 0.739
V 0.000 0.500 0.261
V 0.000 0.000 0.000

Values from the calculation:
The formation energy is -77 meV per atom. Its calculated volume is 13.0 Å³/atom. The total magnetization is 0.000 μB per cell. The calculation puts the density at 7.3 g/cm³. Its density of states at the Fermi level is 0.999 states/eV/atom.


Record 4
Below is a geometry-optimized V3Cr2Mo3 structure, with properties calculated at the PBE level.

abc: 4.177 5.138 11.563
angles: 90.00 90.00 113.98
Atoms (fractional coordinates):
Cr 0.807 0.614 0.642
V 0.250 0.500 0.750
Cr 0.193 0.386 0.142
Mo 0.533 0.067 0.750
Mo 0.362 0.725 0.973
Mo 0.638 0.275 0.473
V 0.074 0.147 0.900
V 0.926 0.853 0.100
V 0.750 0.500 0.250
V 0.074 0.147 0.600
Mo 0.467 0.933 0.250
Cr 0.193 0.386 0.358
V 0.926 0.853 0.400
Cr 0.807 0.614 0.858
Mo 0.638 0.275 0.027
Mo 0.362 0.725 0.527

Values from the calculation:
The formation energy is 164 meV per atom. Its calculated volume is 14.2 Å³/atom. The total magnetization is 0.000 μB per cell. The calculation puts the density at 8.0 g/cm³. Its density of states at the Fermi level is 0.894 states/eV/atom.


Question: total magnetization of number 4 (V3Cr2Mo3)?
Answer: 0.000 μB per cell


Question: calculated volume of number 2 (V2CrMo4)?
Answer: 14.8 Å³/atom


Question: What is the calculated volume in the second record?
Answer: 14.8 Å³/atom